No. 1
# PrNdDyTh2 | Alexandria | GGA-PBE | relaxed
data_PrNdDyTh2
_symmetry_space_group_name_H-M 'P 1'
_symmetry_Int_Tables_number 1
_cell_length_a 8.591
_cell_length_b 8.591
_cell_length_c 6.742
_cell_angle_alpha 90.00
_cell_angle_beta 90.00
_cell_angle_gamma 133.85
loop_
_symmetry_equiv_pos_as_xyz
'x,y,z'
loop_
_atom_site_label
_atom_site_fract_x
_atom_site_fract_y
_atom_site_fract_z
Pr1 0.243 0.757 0.750
Pr2 0.757 0.243 0.250
Nd1 0.348 0.652 0.250
Nd2 0.652 0.348 0.750
Dy1 0.151 0.849 0.250
Dy2 0.849 0.151 0.750
Th1 0.248 0.248 0.000
Th2 0.248 0.248 0.500
Th3 0.752 0.752 0.000
Th4 0.752 0.752 0.500
# formation energy from the elements = 0.37 eV/atom
# symmetry = No. 63


No. 2
# Al2CoIr | Alexandria | GGA-PBE | relaxed
data_Al2CoIr
_symmetry_space_group_name_H-M 'P 1'
_symmetry_Int_Tables_number 1
_cell_length_a 4.171
_cell_length_b 4.171
_cell_length_c 2.951
_cell_angle_alpha 90.00
_cell_angle_beta 90.00
_cell_angle_gamma 90.00
loop_
_symmetry_equiv_pos_as_xyz
'x,y,z'
loop_
_atom_site_label
_atom_site_fract_x
_atom_site_fract_y
_atom_site_fract_z
Al1 0.000 0.500 0.000
Al2 0.500 0.000 0.000
Co1 0.000 0.000 0.500
Ir1 0.500 0.500 0.500
# formation energy from the elements = -0.76 eV/atom
# symmetry = No. 123
# ΔE to the lowest computed polymorph = 0.10 eV/f.u.


No. 3
# U2Ga5Au3 | Alexandria | GGA-PBE | relaxed
data_U2Ga5Au3
_symmetry_space_group_name_H-M 'P 1'
_symmetry_Int_Tables_number 1
_cell_length_a 12.833
_cell_length_b 12.833
_cell_length_c 6.755
_cell_angle_alpha 90.00
_cell_angle_beta 90.00
_cell_angle_gamma 159.49
loop_
_symmetry_equiv_pos_as_xyz
'x,y,z'
loop_
_atom_site_label
_atom_site_fract_x
_atom_site_fract_y
_atom_site_fract_z
U1 0.011 0.989 0.500
U2 0.329 0.671 0.515
U3 0.671 0.329 0.015
U4 0.989 0.011 0.000
Ga1 0.106 0.894 0.816
Ga2 0.209 0.791 0.314
Ga3 0.209 0.791 0.730
Ga4 0.381 0.619 0.991
Ga5 0.450 0.550 0.696
Ga6 0.550 0.450 0.196
Ga7 0.619 0.381 0.491
Ga8 0.791 0.209 0.230
Ga9 0.791 0.209 0.814
Ga10 0.894 0.106 0.316
Au1 0.108 0.892 0.228
Au2 0.279 0.721 0.023
Au3 0.445 0.555 0.296
Au4 0.555 0.445 0.796
Au5 0.721 0.279 0.523
Au6 0.892 0.108 0.728
# formation energy from the elements = -0.24 eV/atom
# symmetry = No. 36


No. 4
# Na2BeGa | Alexandria | GGA-PBE | relaxed
data_Na2BeGa
_symmetry_space_group_name_H-M 'P 1'
_symmetry_Int_Tables_number 1
_cell_length_a 10.553
_cell_length_b 10.553
_cell_length_c 4.278
_cell_angle_alpha 90.00
_cell_angle_beta 90.00
_cell_angle_gamma 90.00
loop_
_symmetry_equiv_pos_as_xyz
'x,y,z'
loop_
_atom_site_label
_atom_site_fract_x
_atom_site_fract_y
_atom_site_fract_z
Na1 0.077 0.250 0.125
Na2 0.250 0.577 0.375
Na3 0.250 0.923 0.875
Na4 0.423 0.250 0.625
Na5 0.577 0.750 0.625
Na6 0.750 0.077 0.875
Na7 0.750 0.423 0.375
Na8 0.923 0.750 0.125
Be1 0.000 0.000 0.000
Be2 0.000 0.500 0.250
Be3 0.500 0.000 0.750
Be4 0.500 0.500 0.500
Ga1 0.000 0.000 0.500
Ga2 0.000 0.500 0.750
Ga3 0.500 0.000 0.250
Ga4 0.500 0.500 0.000
# formation energy from the elements = 0.31 eV/atom
# symmetry = No. 122
# ΔE to the lowest computed polymorph = 0.00 eV/f.u.


No. 5
# RbHf2Rh2 | Alexandria | GGA-PBE | relaxed
data_RbHf2Rh2
_symmetry_space_group_name_H-M 'P 1'
_symmetry_Int_Tables_number 1
_cell_length_a 4.609
_cell_length_b 4.609
_cell_length_c 12.179
_cell_angle_alpha 90.00
_cell_angle_beta 90.00
_cell_angle_gamma 90.00
loop_
_symmetry_equiv_pos_as_xyz
'x,y,z'
loop_
_atom_site_label
_atom_site_fract_x
_atom_site_fract_y
_atom_site_fract_z
Rb1 0.000 0.000 0.000
Rb2 0.500 0.500 0.500
Hf1 0.000 0.000 0.349
Hf2 0.000 0.000 0.651
Hf3 0.500 0.500 0.151
Hf4 0.500 0.500 0.849
Rh1 0.000 0.500 0.250
Rh2 0.000 0.500 0.750
Rh3 0.500 0.000 0.250
Rh4 0.500 0.000 0.750
# formation energy from the elements = 0.08 eV/atom
# symmetry = No. 139
# ΔE to the lowest computed polymorph = 1.14 eV/f.u.


No. 6
# Y2RhI | Alexandria | GGA-PBE | relaxed
data_Y2RhI
_symmetry_space_group_name_H-M 'P 1'
_symmetry_Int_Tables_number 1
_cell_length_a 4.087
_cell_length_b 4.087
_cell_length_c 23.756
_cell_angle_alpha 90.00
_cell_angle_beta 90.00
_cell_angle_gamma 120.00
loop_
_symmetry_equiv_pos_as_xyz
'x,y,z'
loop_
_atom_site_label
_atom_site_fract_x
_atom_site_fract_y
_atom_site_fract_z
Y1 0.000 0.000 0.227
Y2 0.000 0.000 0.773
Y3 0.333 0.667 0.439
Y4 0.333 0.667 0.894
Y5 0.667 0.333 0.106
Y6 0.667 0.333 0.561
Rh1 0.000 0.000 0.500
Rh2 0.333 0.667 0.167
Rh3 0.667 0.333 0.833
I1 0.000 0.000 0.000
I2 0.333 0.667 0.667
I3 0.667 0.333 0.333
# raw formation energy = -0.919 eV/atom
# symmetry = No. 166
# ΔE to the lowest computed polymorph = 0.00 eV/f.u.


Please write out number 5 again, unchanged.
# RbHf2Rh2 | Alexandria | GGA-PBE | relaxed
data_RbHf2Rh2
_symmetry_space_group_name_H-M 'P 1'
_symmetry_Int_Tables_number 1
_cell_length_a 4.609
_cell_length_b 4.609
_cell_length_c 12.179
_cell_angle_alpha 90.00
_cell_angle_beta 90.00
_cell_angle_gamma 90.00
loop_
_symmetry_equiv_pos_as_xyz
'x,y,z'
loop_
_atom_site_label
_atom_site_fract_x
_atom_site_fract_y
_atom_site_fract_z
Rb1 0.000 0.000 0.000
Rb2 0.500 0.500 0.500
Hf1 0.000 0.000 0.349
Hf2 0.000 0.000 0.651
Hf3 0.500 0.500 0.151
Hf4 0.500 0.500 0.849
Rh1 0.000 0.500 0.250
Rh2 0.000 0.500 0.750
Rh3 0.500 0.000 0.250
Rh4 0.500 0.000 0.750
# formation energy from the elements = 0.08 eV/atom
# symmetry = No. 139
# ΔE to the lowest computed polymorph = 1.14 eV/f.u.